No. 1
Below is a PBEsol-optimized structure of NaZn2Cu2, with properties calculated at the meta-GGA SCAN level.

Cell: 7.497 7.497 2.570 Å, 90.00 90.00 90.00°
Fractional positions:
Na: 0.000 0.000 0.000
Na: 0.500 0.500 0.000
Zn: 0.125 0.375 0.000
Zn: 0.375 0.875 0.000
Zn: 0.625 0.125 0.000
Zn: 0.875 0.625 0.000
Cu: 0.171 0.671 0.500
Cu: 0.329 0.171 0.500
Cu: 0.671 0.829 0.500
Cu: 0.829 0.329 0.500

## Properties
Energy of formation from the pure elements in eV/atom: -0.0336
Magnetization in μB per formula unit: 0.00
V in Å³/atom: 14.45
DOS at the Fermi energy in states/eV per atom: 0.21

***

No. 2
Below is a PBEsol-optimized structure of MgTcSb2, with properties calculated at the meta-GGA SCAN level.

Cell: 4.105 4.105 9.334 Å, 90.00 90.00 90.00°
Fractional positions:
Mg: 0.000 0.000 0.000
Mg: 0.500 0.500 0.500
Tc: 0.000 0.500 0.750
Tc: 0.500 0.000 0.250
Sb: 0.000 0.000 0.500
Sb: 0.000 0.500 0.250
Sb: 0.500 0.000 0.750
Sb: 0.500 0.500 0.000

## Properties
E above lowest polymorph in kJ/mol of atoms: 30.5
Magnetization in μB per formula unit: 1.41
Formation energy (no corrections) in meV/atom: 320.6
V in Å³/atom: 19.66
DOS at the Fermi energy in states/eV per atom: 0.77

***

No. 3
Below is a PBEsol-optimized structure of HfFe3Pd, with properties calculated at the meta-GGA SCAN level.

Cell: 4.478 4.478 4.478 Å, 90.00 90.00 90.00°
Fractional positions:
Hf: 0.000 0.000 0.000
Fe: 0.000 0.500 0.500
Fe: 0.500 0.000 0.500
Fe: 0.500 0.500 0.000
Pd: 0.500 0.500 0.500

## Properties
Energy of formation from the pure elements in eV/atom: 0.9017
Magnetization in μB per formula unit: 8.04
V in Å³/atom: 17.96
DOS at the Fermi energy in states/eV per atom: 0.77

***

No. 4
Below is a PBEsol-optimized structure of Be2InReS, with properties calculated at the meta-GGA SCAN level.

Cell: 4.549 4.549 4.340 Å, 90.00 90.00 90.00°
Fractional positions:
Be: 0.000 0.500 0.000
Be: 0.500 0.000 0.000
In: 0.000 0.000 0.500
Re: 0.500 0.500 0.000
S: 0.500 0.500 0.500

## Properties
Magnetization in μB per formula unit: 0.00
Formation energy (no corrections) in meV/atom: 530.3
V in Å³/atom: 17.96
DOS at the Fermi energy in states/eV per atom: 0.28

***

No. 5
Below is a PBEsol-optimized structure of BeSi2AuS, with properties calculated at the meta-GGA SCAN level.

Cell: 4.708 4.708 5.007 Å, 90.00 90.00 90.00°
Fractional positions:
Be: 0.000 0.000 0.000
Si: 0.000 0.500 0.500
Si: 0.500 0.000 0.500
Au: 0.500 0.500 0.500
S: 0.500 0.500 0.000

## Properties
Magnetization in μB per formula unit: 0.00
Formation energy (no corrections) in meV/atom: 1314.7
V in Å³/atom: 22.20
DOS at the Fermi energy in states/eV per atom: 0.58

***

No. 6
Below is a PBEsol-optimized structure of KHfSbTe2, with properties calculated at the meta-GGA SCAN level.

Cell: 5.567 5.567 5.523 Å, 90.00 90.00 90.00°
Fractional positions:
K: 0.000 0.000 0.000
Hf: 0.500 0.500 0.500
Sb: 0.500 0.500 0.000
Te: 0.000 0.500 0.500
Te: 0.500 0.000 0.500

## Properties
Magnetization in μB per formula unit: 0.00
Formation energy (no corrections) in meV/atom: -504.1
V in Å³/atom: 34.24
DOS at the Fermi energy in states/eV per atom: 0.77

***

No. 7
Below is a PBEsol-optimized structure of HgMoOs, with properties calculated at the meta-GGA SCAN level.

Cell: 6.091 6.091 6.091 Å, 90.00 90.00 90.00°
Fractional positions:
Hg: 0.000 0.000 0.000
Hg: 0.000 0.500 0.500
Hg: 0.500 0.000 0.500
Hg: 0.500 0.500 0.000
Mo: 0.250 0.250 0.250
Mo: 0.250 0.750 0.750
Mo: 0.750 0.250 0.750
Mo: 0.750 0.750 0.250
Os: 0.250 0.250 0.750
Os: 0.250 0.750 0.250
Os: 0.750 0.250 0.250
Os: 0.750 0.750 0.750

## Properties
Energy of formation from the pure elements in eV/atom: 1.7234
Magnetization in μB per formula unit: 1.36
V in Å³/atom: 18.83
DOS at the Fermi energy in states/eV per atom: 0.72

***

No. 8
Below is a PBEsol-optimized structure of TlAgPb2, with properties calculated at the meta-GGA SCAN level.

Cell: 3.418 3.418 30.521 Å, 90.00 90.00 120.00°
Fractional positions:
Tl: 0.000 0.000 0.000
Tl: 0.333 0.667 0.667
Tl: 0.667 0.333 0.333
Ag: 0.000 0.000 0.260
Ag: 0.333 0.667 0.927
Ag: 0.667 0.333 0.594
Pb: 0.000 0.000 0.519
Pb: 0.000 0.000 0.758
Pb: 0.333 0.667 0.185
Pb: 0.333 0.667 0.425
Pb: 0.667 0.333 0.091
Pb: 0.667 0.333 0.852

## Properties
Energy of formation from the pure elements in eV/atom: 0.0969
E above lowest polymorph in kJ/mol of atoms: 4.9
Magnetization in μB per formula unit: 0.00
V in Å³/atom: 25.73
DOS at the Fermi energy in states/eV per atom: 0.45